# Sr2MgCd, optimized geometry, DFT PBE
# Offset from the most stable computed form: 190.4 meV/atom
# Crystal system: trigonal
# Total magnetic moment: 0.000 μB/f.u.
# E: -1.470 eV/atom
# Energy of formation: -2 meV per atom
data_Sr2MgCd
_chemical_formula_sum 'Sr6 Mg3 Cd3'
_symmetry_space_group_name_H-M 'R -3 m'
_symmetry_Int_Tables_number 166
_symmetry_space_group_name_Hall '-R 3 2"'
_cell_length_a 4.2906
_cell_length_b 4.2906
_cell_length_c 30.0956
_cell_angle_alpha 90.00
_cell_angle_beta 90.00
_cell_angle_gamma 120.00
loop_
_atom_site_label
_atom_site_fract_x
_atom_site_fract_y
_atom_site_fract_z
Sr1 0.0000 0.0000 0.2453
Mg1 0.0000 0.0000 0.0000
Cd1 0.0000 0.0000 0.5000